Material: PrLuAlZn
Method: DFT, PBE-GGA
State: relaxed

Values from the calculation:
- Space-group type: No. 216
- Raw total energy: -15.6 eV/cell
- Size of the total moment: 0.00 μB per cell

Cell: 5.140 5.140 5.140 Å, 60.00 60.00 60.00°
Positions (direct):
Zn  0.000  0.000  0.000
Pr  0.250  0.250  0.250
Lu  0.750  0.750  0.750
Al  0.500  0.500  0.500